(1)
{
  "formula": "Al2NiCl",
  "functional": "GGA-PBEsol",
  "state": "optimized geometry",
  "cell": [[-4.462, 0.673, -0.237], [-2.810, -3.533, -0.208], [-2.628, -1.008, 3.535]],
  "species": ["Al", "Ni", "Al", "Cl"],
  "fractional_positions": [[0.000, 0.000, 0.000], [0.250, 0.250, 0.250], [0.750, 0.750, 0.750], [0.500, 0.500, 0.500]]
}

(2)
{
  "formula": "Al2NiCl8",
  "functional": "GGA-PBEsol",
  "state": "optimized geometry",
  "cell": [[-6.095, -4.906, 0.525], [-3.030, -3.378, -8.177], [2.412, -9.274, -0.103]],
  "species": ["Cl", "Al", "Cl", "Ni", "Cl", "Al", "Cl", "Al", "Cl", "Cl", "Cl", "Cl", "Cl", "Cl", "Al", "Cl", "Cl", "Cl", "Ni", "Cl", "Cl", "Cl"],
  "fractional_positions": [[0.317, 0.752, 0.558], [0.839, 0.369, 0.470], [0.683, 0.248, 0.442], [0.006, 0.750, 0.250], [0.626, 0.748, 0.942], [0.677, 0.131, 0.030], [0.869, 0.783, 0.512], [0.161, 0.631, 0.530], [0.302, 0.058, 0.779], [0.710, 0.451, 0.694], [0.836, 0.283, 0.012], [0.855, 0.049, 0.806], [0.374, 0.252, 0.058], [0.131, 0.217, 0.488], [0.323, 0.869, 0.970], [0.698, 0.942, 0.221], [0.145, 0.951, 0.194], [0.290, 0.549, 0.306], [0.994, 0.250, 0.750], [0.861, 0.558, 0.279], [0.164, 0.717, 0.988], [0.139, 0.442, 0.721]]
}

(3)
{
  "formula": "AlNi2Cl",
  "functional": "GGA-PBEsol",
  "state": "optimized geometry",
  "cell": [[4.173, 0.000, 0.000], [2.086, 3.614, 0.000], [2.086, 1.205, 3.407]],
  "species": ["Ni", "Cl", "Ni", "Al"],
  "fractional_positions": [[0.250, 0.250, 0.250], [0.500, 0.500, 0.500], [0.750, 0.750, 0.750], [0.000, 0.000, 0.000]]
}

(4)
{
  "formula": "AlNiS2Cl",
  "functional": "GGA-PBEsol",
  "state": "optimized geometry",
  "cell": [[4.468, 0.000, 0.000], [0.000, 4.594, 0.000], [0.000, 0.000, 4.594]],
  "species": ["S", "Cl", "S", "Ni", "Al"],
  "fractional_positions": [[0.000, 0.000, 0.500], [0.500, 0.000, 0.000], [0.000, 0.500, 0.000], [0.500, 0.500, 0.500], [0.000, 0.000, 0.000]]
}

(5)
{
  "formula": "AlClO",
  "functional": "GGA-PBEsol",
  "state": "optimized geometry",
  "cell": [[3.141, 0.000, 0.000], [0.000, 3.634, 0.000], [0.000, 0.000, 8.197]],
  "species": ["Al", "Cl", "Al", "Cl", "O", "O"],
  "fractional_positions": [[0.000, 0.500, 0.101], [0.000, 0.000, 0.695], [0.500, 0.000, 0.899], [0.500, 0.500, 0.305], [0.500, 0.500, 0.953], [0.000, 0.000, 0.047]]
}

(6)
{
  "formula": "Al13Si5ClO38",
  "functional": "GGA-PBEsol",
  "state": "optimized geometry",
  "cell": [[-8.206, 0.746, 5.331], [0.277, -1.585, 9.681], [-1.138, 7.494, 6.234]],
  "species": ["O", "O", "O", "O", "Al", "O", "Cl", "Al", "O", "Al", "O", "Al", "O", "Al", "O", "O", "O", "O", "O", "O", "O", "O", "O", "Si", "O", "Al", "O", "O", "O", "O", "O", "O", "O", "Si", "Si", "O", "O", "O", "Al", "Al", "O", "Al", "O", "O", "Al", "Si", "O", "Al", "O", "O", "O", "O", "O", "Al", "Si", "O", "Al"],
  "fractional_positions": [[0.998, 0.724, 0.280], [0.719, 0.281, 0.281], [0.998, 0.724, 0.998], [0.907, 0.444, 0.204], [0.232, 0.232, 0.599], [0.444, 0.444, 0.204], [0.500, 0.500, 0.500], [0.936, 0.232, 0.232], [0.817, 0.817, 0.817], [0.232, 0.232, 0.936], [0.724, 0.998, 0.280], [0.936, 0.599, 0.232], [0.817, 0.549, 0.817], [0.232, 0.936, 0.599], [0.444, 0.444, 0.907], [0.280, 0.998, 0.998], [0.204, 0.444, 0.444], [0.907, 0.444, 0.444], [0.907, 0.204, 0.444], [0.998, 0.280, 0.724], [0.719, 0.281, 0.719], [0.998, 0.280, 0.998], [0.281, 0.719, 0.719], [0.884, 0.884, 0.348], [0.280, 0.998, 0.724], [0.936, 0.232, 0.599], [0.204, 0.444, 0.907], [0.476, 0.175, 0.175], [0.724, 0.998, 0.998], [0.281, 0.281, 0.719], [0.281, 0.719, 0.281], [0.175, 0.175, 0.175], [0.444, 0.907, 0.444], [0.884, 0.884, 0.884], [0.348, 0.884, 0.884], [0.280, 0.724, 0.998], [0.175, 0.476, 0.175], [0.998, 0.998, 0.280], [0.232, 0.599, 0.936], [0.232, 0.599, 0.232], [0.817, 0.817, 0.549], [0.250, 0.250, 0.250], [0.724, 0.280, 0.998], [0.444, 0.204, 0.907], [0.232, 0.936, 0.232], [0.884, 0.348, 0.884], [0.204, 0.907, 0.444], [0.599, 0.232, 0.232], [0.444, 0.907, 0.204], [0.549, 0.817, 0.817], [0.444, 0.204, 0.444], [0.719, 0.719, 0.281], [0.175, 0.175, 0.476], [0.599, 0.232, 0.936], [0.750, 0.750, 0.750], [0.998, 0.998, 0.724], [0.599, 0.936, 0.232]]
}

We obtain formation energy (no corrections) values of 0.41 -1.22 0.18 0.19 -2.39 -2.10 eV/atom for the records listed above, in that order.
We obtain VASP energy values of -3.678 -3.984 -4.423 -4.011 -6.175 -7.073 eV per atom for the records listed above, in that order.
We obtain total moment values of 0.00 1.89 0.00 1.55 0.00 18.00 μB per formula unit for the records listed above, in that order.